This record from Alexandria describes crystalline Cs2PuBi2S6 at its relaxed geometry. The functional is GGA-PBE.

```
Cs2PuBi2S6
1.0
7.121 -0.013 0.043
-3.531 6.184 0.043
-1.303 -2.240 8.229
Cs S Bi Pu
2 6 2 1
direct
0.171 0.829 0.000
0.829 0.171 0.000
0.938 0.618 0.319
0.062 0.382 0.681
0.618 0.938 0.319
0.748 0.748 0.680
0.252 0.252 0.320
0.382 0.062 0.681
0.332 0.668 0.500
0.668 0.332 0.500
0.000 0.000 0.500
```

Computed properties:
Fermi-level density of states: 0.22 states/eV/atom
M_tot: 0.364 μB/atom
total DFT energy (no corrections): -5.3876 eV/atom



This record from Alexandria describes crystalline Li3HgGe at its relaxed geometry. The functional is GGA-PBE.

```
Li3HgGe
1.0
4.863 0.000 0.000
0.000 4.863 0.000
0.000 0.000 4.863
Li Hg Ge
3 1 1
direct
0.500 0.000 0.000
0.000 0.000 0.500
0.000 0.500 0.000
0.500 0.500 0.500
0.000 0.000 0.000
```

Computed properties:
Fermi-level density of states: 0.77 states/eV/atom
E above lowest polymorph: 283 meV/atom
energy of formation from the pure elements: -0.007 eV per atom
M_tot: 0.000 μB/atom
total DFT energy (no corrections): -2.1392 eV/atom



This record from Alexandria describes crystalline ZrCu2Pt at its relaxed geometry. The functional is GGA-PBE.

```
ZrCu2Pt
1.0
5.395 -0.004 -0.007
-2.611 4.721 -0.007
0.687 1.165 2.502
Zr Pt Cu
1 1 2
direct
0.000 0.500 0.500
0.500 0.000 0.500
0.000 0.000 0.000
0.500 0.500 0.000
```

Computed properties:
Fermi-level density of states: 0.59 states/eV/atom
energy of formation from the pure elements: -0.162 eV per atom
M_tot: 0.000 μB/atom
total DFT energy (no corrections): -5.8577 eV/atom